Entry 1:
{"formula": "Pr2AlCo2Ni5", "functional": "PBE-GGA", "state": "optimized geometry", "lattice": [[-0.263, 3.653, -0.810], [-5.033, -1.959, -7.203], [-7.438, 0.581, 5.039]], "species": ["Al", "Ni", "Pr", "Pr", "Ni", "Co", "Ni", "Ni", "Pr", "Ni", "Co", "Ni", "Al", "Co", "Co", "Ni", "Pr", "Ni", "Ni", "Ni"], "frac_coords": [[0.000, 0.000, 0.000], [0.500, 0.296, 0.557], [0.000, 0.319, 0.819], [0.000, 0.681, 0.181], [0.500, 0.704, 0.443], [0.000, 0.383, 0.117], [0.500, 0.557, 0.704], [0.500, 0.057, 0.796], [0.000, 0.819, 0.681], [0.500, 0.000, 0.500], [0.000, 0.617, 0.883], [0.500, 0.443, 0.296], [0.000, 0.500, 0.500], [0.000, 0.883, 0.383], [0.000, 0.117, 0.617], [0.500, 0.500, 0.000], [0.000, 0.181, 0.319], [0.500, 0.204, 0.057], [0.500, 0.796, 0.943], [0.500, 0.943, 0.204]], "mass_density_g_cm3": 7.9, "delta_e_f_mev_per_atom": -109, "total_energy_ev_per_atom": -5.7508}

***

Entry 2:
{"formula": "Ba2NaLiIn", "functional": "PBE-GGA", "state": "optimized geometry", "lattice": [[-0.089, -3.742, -5.642], [6.769, 0.064, -0.150], [0.109, -4.511, 2.991]], "species": ["Ba", "Na", "In", "Ba", "Li"], "frac_coords": [[0.500, 0.000, 0.000], [0.500, 0.500, 0.500], [0.000, 0.000, 0.000], [0.000, 0.500, 0.000], [0.000, 0.000, 0.500]], "mass_density_g_cm3": 2.8, "delta_e_f_mev_per_atom": -16, "total_energy_ev_per_atom": -1.9790}

***

Entry 3:
{"formula": "ZrIn2Sb", "functional": "PBE-GGA", "state": "optimized geometry", "lattice": [[-0.759, -1.255, -5.491], [-4.359, -2.125, 3.703], [-2.486, 2.031, -0.773]], "species": ["Sb", "In", "In", "Zr"], "frac_coords": [[0.000, 0.500, 0.500], [0.000, 0.000, 0.000], [0.500, 0.000, 0.500], [0.500, 0.500, 0.000]], "e_form_raw_ev_per_atom": -0.07, "mass_density_g_cm3": 7.5, "total_energy_ev_per_atom": -4.6050}

***

Entry 4:
{"formula": "RbHoFe2Br8", "functional": "PBE-GGA", "state": "optimized geometry", "lattice": [[-0.619, -5.832, -3.539], [0.687, -5.433, 4.115], [-9.964, -0.954, 1.750]], "species": ["Br", "Fe", "Br", "Ho", "Fe", "Br", "Br", "Rb", "Br", "Br", "Br", "Br"], "frac_coords": [[0.248, 0.248, 0.996], [0.623, 0.623, 0.212], [0.263, 0.766, 0.798], [0.000, 0.000, 0.000], [0.377, 0.377, 0.788], [0.752, 0.752, 0.004], [0.234, 0.737, 0.202], [0.000, 0.000, 0.500], [0.766, 0.263, 0.798], [0.305, 0.305, 0.577], [0.695, 0.695, 0.423], [0.737, 0.234, 0.202]], "e_form_raw_ev_per_atom": -1.08, "mass_density_g_cm3": 3.7, "total_energy_ev_per_atom": -4.0686}

***

Entry 5:
{"formula": "CuRh6O12", "functional": "PBE-GGA", "state": "optimized geometry", "lattice": [[5.957, -0.024, -0.028], [-0.926, 5.884, -0.028], [-0.926, -1.079, 5.785]], "species": ["Rh", "Rh", "O", "O", "O", "O", "O", "Cu", "Rh", "O", "O", "Rh", "O", "Rh", "O", "O", "O", "O", "Rh"], "frac_coords": [[0.136, 0.576, 0.286], [0.714, 0.864, 0.424], [0.059, 0.942, 0.320], [0.178, 0.440, 0.588], [0.941, 0.058, 0.680], [0.680, 0.941, 0.058], [0.822, 0.560, 0.412], [0.000, 0.000, 0.000], [0.864, 0.424, 0.714], [0.440, 0.588, 0.178], [0.942, 0.320, 0.059], [0.576, 0.286, 0.136], [0.560, 0.412, 0.822], [0.286, 0.136, 0.576], [0.588, 0.178, 0.440], [0.412, 0.822, 0.560], [0.320, 0.059, 0.942], [0.058, 0.680, 0.941], [0.424, 0.714, 0.864]], "e_form_raw_ev_per_atom": -0.49, "mass_density_g_cm3": 7.2, "total_energy_ev_per_atom": -6.1561}

***

Entry 6:
{"formula": "ScMoH", "functional": "PBE-GGA", "state": "optimized geometry", "lattice": [[-8.999, 3.809, -2.410], [-10.274, 2.574, 0.445], [14.631, -1.977, 1.767]], "species": ["Sc", "H", "Sc", "Mo", "H", "Mo"], "frac_coords": [[0.507, 0.166, 0.415], [0.882, 0.932, 0.183], [0.493, 0.834, 0.585], [0.082, 0.979, 0.230], [0.118, 0.068, 0.817], [0.918, 0.021, 0.770]], "mass_density_g_cm3": 5.4, "total_energy_ev_per_atom": -6.9573}

***

Please write out number 2 again, unchanged.
{"formula": "Ba2NaLiIn", "functional": "PBE-GGA", "state": "optimized geometry", "lattice": [[-0.089, -3.742, -5.642], [6.769, 0.064, -0.150], [0.109, -4.511, 2.991]], "species": ["Ba", "Na", "In", "Ba", "Li"], "frac_coords": [[0.500, 0.000, 0.000], [0.500, 0.500, 0.500], [0.000, 0.000, 0.000], [0.000, 0.500, 0.000], [0.000, 0.000, 0.500]], "mass_density_g_cm3": 2.8, "delta_e_f_mev_per_atom": -16, "total_energy_ev_per_atom": -1.9790}